No. 1
Entry from Alexandria: a geometry-optimized Pr2Er6Zr structure (PBE-GGA).

The structure in CIF format:
```
data_Pr2Er6Zr
_chemical_formula_sum 'Pr2 Er6 Zr1'
_symmetry_space_group_name_H-M 'P 1'
_symmetry_Int_Tables_number 1
_symmetry_space_group_name_Hall 'P 1'
_cell_length_a 10.099
_cell_length_b 10.099
_cell_length_c 10.099
_cell_angle_alpha 160.75
_cell_angle_beta 122.20
_cell_angle_gamma 61.51
loop_
_atom_site_label
_atom_site_type_symbol
_atom_site_fract_x
_atom_site_fract_y
_atom_site_fract_z
Pr1 Pr 0.163 0.163 0.000
Pr2 Pr 0.837 0.837 0.000
Er1 Er 0.158 0.337 0.822
Er2 Er 0.209 0.000 0.209
Er3 Er 0.485 0.663 0.822
Er4 Er 0.515 0.337 0.178
Er5 Er 0.791 0.000 0.791
Er6 Er 0.842 0.663 0.178
Zr1 Zr 0.500 0.500 0.000
```

Magnetic moment (μB/cell): 0.00
Calculated formation energy (eV/atom): 0.22

---

No. 2
Entry from Alexandria: a geometry-optimized FeHgAu2 structure (PBE-GGA).

The structure in CIF format:
```
data_FeHgAu2
_chemical_formula_sum 'Fe1 Hg1 Au2'
_symmetry_space_group_name_H-M 'P 1'
_symmetry_Int_Tables_number 1
_symmetry_space_group_name_Hall 'P 1'
_cell_length_a 4.648
_cell_length_b 4.648
_cell_length_c 4.648
_cell_angle_alpha 60.00
_cell_angle_beta 60.00
_cell_angle_gamma 60.00
loop_
_atom_site_label
_atom_site_type_symbol
_atom_site_fract_x
_atom_site_fract_y
_atom_site_fract_z
Fe1 Fe 0.000 0.000 0.000
Hg1 Hg 0.750 0.750 0.750
Au1 Au 0.250 0.250 0.250
Au2 Au 0.500 0.500 0.500
```

Magnetic moment (μB/cell): 3.10
Calculated formation energy (eV/atom): 0.27

---

No. 3
Entry from Alexandria: a geometry-optimized SrSb3 structure (PBE-GGA).

The structure in CIF format:
```
data_SrSb3
_chemical_formula_sum 'Sr1 Sb3'
_symmetry_space_group_name_H-M 'P 1'
_symmetry_Int_Tables_number 1
_symmetry_space_group_name_Hall 'P 1'
_cell_length_a 6.298
_cell_length_b 6.298
_cell_length_c 6.298
_cell_angle_alpha 116.38
_cell_angle_beta 116.38
_cell_angle_gamma 116.38
loop_
_atom_site_label
_atom_site_type_symbol
_atom_site_fract_x
_atom_site_fract_y
_atom_site_fract_z
Sr1 Sr 0.000 0.000 0.000
Sb1 Sb 0.000 0.500 0.500
Sb2 Sb 0.500 0.000 0.500
Sb3 Sb 0.500 0.500 0.000
```

Magnetic moment (μB/cell): 0.00
Formation energy (no corrections) (meV per atom): -238

---

No. 4
Entry from Alexandria: a geometry-optimized KBe2Tl structure (PBE-GGA).

The structure in CIF format:
```
data_KBe2Tl
_chemical_formula_sum 'K1 Be2 Tl1'
_symmetry_space_group_name_H-M 'P 1'
_symmetry_Int_Tables_number 1
_symmetry_space_group_name_Hall 'P 1'
_cell_length_a 4.457
_cell_length_b 4.112
_cell_length_c 6.236
_cell_angle_alpha 90.00
_cell_angle_beta 110.62
_cell_angle_gamma 90.00
loop_
_atom_site_label
_atom_site_type_symbol
_atom_site_fract_x
_atom_site_fract_y
_atom_site_fract_z
K1 K 0.000 0.000 0.000
Be1 Be 0.707 0.500 0.411
Be2 Be 0.715 0.000 0.439
Tl1 Tl 0.271 0.500 0.541
```

Magnetic moment (μB/cell): 0.00
Distance to the lowest polymorph of the same formula (meV per atom): 137
Calculated formation energy (eV/atom): 0.53

---

No. 5
Entry from Alexandria: a geometry-optimized PrTePt4 structure (PBE-GGA).

The structure in CIF format:
```
data_PrTePt4
_chemical_formula_sum 'Pr1 Te1 Pt4'
_symmetry_space_group_name_H-M 'P 1'
_symmetry_Int_Tables_number 1
_symmetry_space_group_name_Hall 'P 1'
_cell_length_a 5.504
_cell_length_b 5.504
_cell_length_c 5.504
_cell_angle_alpha 60.00
_cell_angle_beta 60.00
_cell_angle_gamma 60.00
loop_
_atom_site_label
_atom_site_type_symbol
_atom_site_fract_x
_atom_site_fract_y
_atom_site_fract_z
Pr1 Pr 0.000 0.000 0.000
Te1 Te 0.750 0.750 0.750
Pt1 Pt 0.375 0.375 0.375
Pt2 Pt 0.375 0.375 0.875
Pt3 Pt 0.375 0.875 0.375
Pt4 Pt 0.875 0.375 0.375
```

Magnetic moment (μB/cell): 0.00
Formation energy (no corrections) (meV per atom): -579

---

No. 6
Entry from Alexandria: a geometry-optimized Si2F13 structure (PBE-GGA).

The structure in CIF format:
```
data_Si2F13
_chemical_formula_sum 'Si2 F13'
_symmetry_space_group_name_H-M 'P 1'
_symmetry_Int_Tables_number 1
_symmetry_space_group_name_Hall 'P 1'
_cell_length_a 5.059
_cell_length_b 6.130
_cell_length_c 7.301
_cell_angle_alpha 66.07
_cell_angle_beta 79.03
_cell_angle_gamma 83.78
loop_
_atom_site_label
_atom_site_type_symbol
_atom_site_fract_x
_atom_site_fract_y
_atom_site_fract_z
Si1 Si 0.167 0.127 0.229
Si2 Si 0.833 0.873 0.771
F1 F 0.000 0.000 0.500
F2 F 0.080 0.878 0.218
F3 F 0.133 0.743 0.828
F4 F 0.228 0.364 0.272
F5 F 0.322 0.237 0.989
F6 F 0.384 0.488 0.573
F7 F 0.448 0.986 0.318
F8 F 0.552 0.014 0.682
F9 F 0.616 0.512 0.427
F10 F 0.678 0.763 0.011
F11 F 0.772 0.636 0.728
F12 F 0.867 0.257 0.172
F13 F 0.920 0.122 0.782
```

Magnetic moment (μB/cell): 3.07
Formation energy (no corrections) (meV per atom): -1908

---

No. 7
Entry from Alexandria: a geometry-optimized TaTi2TlO8 structure (PBE-GGA).

The structure in CIF format:
```
data_TaTi2TlO8
_chemical_formula_sum 'Ta1 Ti2 Tl1 O8'
_symmetry_space_group_name_H-M 'P 1'
_symmetry_Int_Tables_number 1
_symmetry_space_group_name_Hall 'P 1'
_cell_length_a 4.792
_cell_length_b 4.792
_cell_length_c 6.352
_cell_angle_alpha 90.69
_cell_angle_beta 90.69
_cell_angle_gamma 89.11
loop_
_atom_site_label
_atom_site_type_symbol
_atom_site_fract_x
_atom_site_fract_y
_atom_site_fract_z
Ta1 Ta 0.000 0.000 0.000
Ti1 Ti 0.474 0.474 0.251
Ti2 Ti 0.526 0.526 0.749
Tl1 Tl 0.000 0.000 0.500
O1 O 0.210 0.789 0.221
O2 O 0.211 0.790 0.779
O3 O 0.299 0.299 0.012
O4 O 0.324 0.324 0.492
O5 O 0.676 0.676 0.508
O6 O 0.701 0.701 0.988
O7 O 0.789 0.210 0.221
O8 O 0.790 0.211 0.779
```

Magnetic moment (μB/cell): 0.00
Formation energy (no corrections) (meV per atom): -2412

---

No. 8
Entry from Alexandria: a geometry-optimized MgTaCoIr structure (PBE-GGA).

The structure in CIF format:
```
data_MgTaCoIr
_chemical_formula_sum 'Mg1 Ta1 Co1 Ir1'
_symmetry_space_group_name_H-M 'P 1'
_symmetry_Int_Tables_number 1
_symmetry_space_group_name_Hall 'P 1'
_cell_length_a 4.386
_cell_length_b 4.386
_cell_length_c 4.386
_cell_angle_alpha 60.00
_cell_angle_beta 60.00
_cell_angle_gamma 60.00
loop_
_atom_site_label
_atom_site_type_symbol
_atom_site_fract_x
_atom_site_fract_y
_atom_site_fract_z
Mg1 Mg 0.000 0.000 0.000
Ta1 Ta 0.500 0.500 0.500
Co1 Co 0.250 0.250 0.250
Ir1 Ir 0.750 0.750 0.750
```

Magnetic moment (μB/cell): 0.99
Calculated formation energy (eV/atom): -0.39

---

No. 9
Entry from Alexandria: a geometry-optimized Lu2Sc4C structure (PBE-GGA).

The structure in CIF format:
```
data_Lu2Sc4C
_chemical_formula_sum 'Lu2 Sc4 C1'
_symmetry_space_group_name_H-M 'P 1'
_symmetry_Int_Tables_number 1
_symmetry_space_group_name_Hall 'P 1'
_cell_length_a 9.410
_cell_length_b 9.410
_cell_length_c 9.410
_cell_angle_alpha 152.72
_cell_angle_beta 152.72
_cell_angle_gamma 38.96
loop_
_atom_site_label
_atom_site_type_symbol
_atom_site_fract_x
_atom_site_fract_y
_atom_site_fract_z
Lu1 Lu 0.186 0.186 0.000
Lu2 Lu 0.814 0.814 0.000
Sc1 Sc 0.000 0.500 0.500
Sc2 Sc 0.375 0.375 0.000
Sc3 Sc 0.500 0.000 0.500
Sc4 Sc 0.625 0.625 0.000
C1 C 0.500 0.500 0.000
```

Magnetic moment (μB/cell): 0.00
Calculated formation energy (eV/atom): 0.04

---

No. 10
Entry from Alexandria: a geometry-optimized La2DyTh structure (PBE-GGA).

The structure in CIF format:
```
data_La2DyTh
_chemical_formula_sum 'La4 Dy2 Th2'
_symmetry_space_group_name_H-M 'P 1'
_symmetry_Int_Tables_number 1
_symmetry_space_group_name_Hall 'P 1'
_cell_length_a 3.615
_cell_length_b 7.207
_cell_length_c 11.091
_cell_angle_alpha 71.12
_cell_angle_beta 89.99
_cell_angle_gamma 89.83
loop_
_atom_site_label
_atom_site_type_symbol
_atom_site_fract_x
_atom_site_fract_y
_atom_site_fract_z
La1 La 0.000 0.131 0.239
La2 La 0.000 0.869 0.761
La3 La 0.499 0.270 0.500
La4 La 0.501 0.730 0.500
Dy1 Dy 0.000 0.365 0.769
Dy2 Dy 0.000 0.635 0.231
Th1 Th 0.500 0.000 0.000
Th2 Th 0.500 0.500 0.000
```

Magnetic moment (μB/cell): 0.00
Distance to the lowest polymorph of the same formula (meV per atom): 0
Calculated formation energy (eV/atom): 0.02

---

No. 11
Entry from Alexandria: a geometry-optimized PmHoMg2Pd4 structure (PBE-GGA).

The structure in CIF format:
```
data_PmHoMg2Pd4
_chemical_formula_sum 'Pm1 Ho1 Mg2 Pd4'
_symmetry_space_group_name_H-M 'P 1'
_symmetry_Int_Tables_number 1
_symmetry_space_group_name_Hall 'P 1'
_cell_length_a 8.415
_cell_length_b 8.415
_cell_length_c 8.415
_cell_angle_alpha 33.05
_cell_angle_beta 33.05
_cell_angle_gamma 33.05
loop_
_atom_site_label
_atom_site_type_symbol
_atom_site_fract_x
_atom_site_fract_y
_atom_site_fract_z
Pm1 Pm 0.000 0.000 0.000
Ho1 Ho 0.500 0.500 0.500
Mg1 Mg 0.248 0.248 0.248
Mg2 Mg 0.752 0.752 0.752
Pd1 Pd 0.126 0.126 0.126
Pd2 Pd 0.380 0.380 0.380
Pd3 Pd 0.620 0.620 0.620
Pd4 Pd 0.874 0.874 0.874
```

Magnetic moment (μB/cell): 0.00
Calculated formation energy (eV/atom): -0.77

---

No. 12
Entry from Alexandria: a geometry-optimized YGaPdRh structure (PBE-GGA).

The structure in CIF format:
```
data_YGaPdRh
_chemical_formula_sum 'Y1 Ga1 Pd1 Rh1'
_symmetry_space_group_name_H-M 'P 1'
_symmetry_Int_Tables_number 1
_symmetry_space_group_name_Hall 'P 1'
_cell_length_a 4.636
_cell_length_b 4.636
_cell_length_c 4.636
_cell_angle_alpha 60.00
_cell_angle_beta 60.00
_cell_angle_gamma 60.00
loop_
_atom_site_label
_atom_site_type_symbol
_atom_site_fract_x
_atom_site_fract_y
_atom_site_fract_z
Y1 Y 0.000 0.000 0.000
Ga1 Ga 0.500 0.500 0.500
Pd1 Pd 0.250 0.250 0.250
Rh1 Rh 0.750 0.750 0.750
```

Magnetic moment (μB/cell): 0.00
Calculated formation energy (eV/atom): -0.75